Material: PrDy6Hg
Method: DFT, PBE
State: relaxed

a b c (Å): 9.3340 9.3340 9.9356
angles (deg): 90.00 90.00 120.00
Space group R-3 (No. 148, hexagonal axes)
Inequivalent atoms, fractional coordinates:
Pr 0.0000 0.0000 0.0000 (multiplicity 3)
Dy 0.0268 0.2537 0.7121 (multiplicity 18)
Hg 0.0000 0.0000 0.5000 (multiplicity 3)

DOS at the Fermi energy = 27.14 states/eV/cell
DFT formation energy = -6 meV per atom